(1)
BaPmSn2Cl8 | PBE | relaxed

DOS at the Fermi energy ... 4.05 states/eV/f.u.
Uncorrected formation energy ... -1608.9 meV per atom
VASP energy ... -4.0632 eV/atom

Cell lengths 6.473, 9.251, 6.800 Å; angles 90.00, 91.75, 90.00 degrees
Fractional coordinates of all 12 atoms:
Ba: 0.000 0.000 0.000
Pm: 0.000 0.500 0.000
Sn: 0.500 0.251 0.500
Sn: 0.500 0.749 0.500
Cl: 0.155 0.276 0.779
Cl: 0.155 0.724 0.779
Cl: 0.334 0.500 0.259
Cl: 0.391 0.000 0.268
Cl: 0.609 0.000 0.732
Cl: 0.666 0.500 0.741
Cl: 0.845 0.276 0.221
Cl: 0.845 0.724 0.221

***

(2)
BaPmTlCl6 | PBE | relaxed

DOS at the Fermi energy ... 0.00 states/eV/f.u.
Uncorrected formation energy ... -2078.9 meV per atom
VASP energy ... -4.3144 eV/atom

Cell lengths 7.755, 7.755, 13.005 Å; angles 90.00, 90.00, 120.00 degrees
Fractional coordinates of all 18 atoms:
Ba: 0.333 0.667 0.250
Ba: 0.667 0.333 0.750
Pm: 0.333 0.667 0.750
Pm: 0.667 0.333 0.250
Tl: 0.000 0.000 0.000
Tl: 0.000 0.000 0.500
Cl: 0.035 0.380 0.633
Cl: 0.035 0.655 0.867
Cl: 0.345 0.380 0.867
Cl: 0.345 0.965 0.633
Cl: 0.380 0.035 0.133
Cl: 0.380 0.345 0.367
Cl: 0.620 0.655 0.633
Cl: 0.620 0.965 0.867
Cl: 0.655 0.035 0.367
Cl: 0.655 0.620 0.133
Cl: 0.965 0.345 0.133
Cl: 0.965 0.620 0.367

***

(3)
BaPrCl4 | PBE | relaxed

Uncorrected formation energy ... -2278.8 meV per atom
VASP energy ... -4.6269 eV/atom

Cell lengths 8.245, 8.245, 6.858 Å; angles 108.42, 108.42, 110.21 degrees
Fractional coordinates of all 12 atoms:
Ba: 0.137 0.863 0.750
Ba: 0.863 0.137 0.250
Pr: 0.496 0.504 0.250
Pr: 0.504 0.496 0.750
Cl: 0.150 0.267 0.773
Cl: 0.219 0.558 0.426
Cl: 0.267 0.150 0.273
Cl: 0.442 0.781 0.074
Cl: 0.558 0.219 0.926
Cl: 0.733 0.850 0.727
Cl: 0.781 0.442 0.574
Cl: 0.850 0.733 0.227

***

(4)
RbBaPrCl6 | PBE | relaxed

DOS at the Fermi energy ... 0.00 states/eV/f.u.
Uncorrected formation energy ... -2293.9 meV per atom
VASP energy ... -4.3772 eV/atom

Cell lengths 7.850, 7.850, 13.393 Å; angles 90.00, 90.00, 120.00 degrees
Fractional coordinates of all 18 atoms:
Rb: 0.000 0.000 0.000
Rb: 0.000 0.000 0.500
Ba: 0.333 0.667 0.250
Ba: 0.667 0.333 0.750
Pr: 0.333 0.667 0.750
Pr: 0.667 0.333 0.250
Cl: 0.030 0.380 0.635
Cl: 0.030 0.650 0.865
Cl: 0.350 0.380 0.865
Cl: 0.350 0.970 0.635
Cl: 0.380 0.030 0.135
Cl: 0.380 0.350 0.365
Cl: 0.620 0.650 0.635
Cl: 0.620 0.970 0.865
Cl: 0.650 0.030 0.365
Cl: 0.650 0.620 0.135
Cl: 0.970 0.350 0.135
Cl: 0.970 0.620 0.365

***

(5)
BaPtCl2 | PBE | relaxed

Uncorrected formation energy ... -995.3 meV per atom
Excess energy over the best structure of this formula in the dataset ... 318 meV per atom
VASP energy ... -3.9095 eV/atom

Cell lengths 4.435, 4.435, 6.114 Å; angles 90.00, 90.00, 90.00 degrees
Fractional coordinates of all 4 atoms:
Ba: 0.000 0.000 0.000
Pt: 0.500 0.500 0.779
Cl: 0.000 0.000 0.513
Cl: 0.500 0.500 0.147

***

(6)
BaPtCl2 | PBE | relaxed

Uncorrected formation energy ... -1169.5 meV per atom
Excess energy over the best structure of this formula in the dataset ... 144 meV per atom
VASP energy ... -4.0837 eV/atom

Cell lengths 4.374, 6.263, 6.263 Å; angles 41.14, 90.00, 90.00 degrees
Fractional coordinates of all 4 atoms:
Ba: 0.000 0.000 0.000
Pt: 0.500 0.602 0.602
Cl: 0.000 0.718 0.718
Cl: 0.500 0.401 0.401

***

(7)
BaPt2Cl | PBE | relaxed

DOS at the Fermi energy ... 3.93 states/eV/f.u.
Uncorrected formation energy ... -748.2 meV per atom
Excess energy over the best structure of this formula in the dataset ... 13 meV per atom
VASP energy ... -4.7110 eV/atom

Cell lengths 4.474, 4.474, 7.959 Å; angles 105.20, 105.20, 55.14 degrees
Fractional coordinates of all 4 atoms:
Ba: 0.000 0.000 0.000
Pt: 0.243 0.243 0.683
Pt: 0.554 0.554 0.680
Cl: 0.748 0.748 0.221

***

(8)
Ba6Pt3Cl2 | PBE | relaxed

DOS at the Fermi energy ... 6.91 states/eV/f.u.
Uncorrected formation energy ... -1159.1 meV per atom
VASP energy ... -4.1911 eV/atom

Cell lengths 7.965, 7.965, 8.226 Å; angles 99.33, 99.33, 119.97 degrees
Fractional coordinates of all 11 atoms:
Ba: 0.072 0.409 0.224
Ba: 0.255 0.255 0.779
Ba: 0.409 0.072 0.224
Ba: 0.591 0.928 0.776
Ba: 0.745 0.745 0.221
Ba: 0.928 0.591 0.776
Pt: 0.000 0.000 0.000
Pt: 0.331 0.669 0.000
Pt: 0.669 0.331 0.000
Cl: 0.166 0.834 0.500
Cl: 0.834 0.166 0.500